Entry 1:
ZnTeRh2 | PBEsol | optimized geometry

## Properties
Total DFT energy (no corrections) in eV per atom: -5.480
D(E_F) in states/eV per atom: 0.376
Total moment in μB/f.u.: 0.0
ΔE_f (raw) in meV per atom: -133.6
Crystal system: orthorhombic
Space group: Imm2, No. 44

Geometry as POSCAR:
```
ZnTeRh2
1.0
-1.767 1.856 4.898
1.767 -1.856 4.898
1.767 1.856 -4.898
Zn Te Rh
1 1 2
direct
0.000 0.000 0.000
0.746 0.246 0.500
0.310 0.810 0.500
0.558 0.558 0.000
```

Entry 2:
ZnTeRh2 | PBEsol | optimized geometry

## Properties
Total DFT energy (no corrections) in eV per atom: -5.487
D(E_F) in states/eV per atom: 0.487
Total moment in μB/f.u.: 0.0
ΔE_f (raw) in meV per atom: -141.1
Crystal system: orthorhombic
Space group: Pmm2, No. 25

Geometry as POSCAR:
```
ZnTeRh2
1.0
3.743 0.000 0.000
0.000 4.360 0.000
0.000 0.000 3.841
Zn Te Rh
1 1 2
direct
0.000 0.000 0.000
0.500 0.500 0.116
0.000 0.500 0.635
0.500 0.000 0.489
```